1.
! PmEr3Ga2 (PBE, optimized geometry); values from VASP
&SYSTEM
  ibrav = 0, nat = 12, ntyp = 3
/
ATOMIC_SPECIES
Pm 145.00 Pm.upf
Er 167.26 Er.upf
Ga 69.72 Ga.upf
ATOMIC_POSITIONS crystal
Pm 0.8696 0.7391 0.9277
Pm 0.1304 0.2609 0.0723
Er 0.3124 0.6247 0.6143
Er 0.9367 0.8734 0.5902
Er 0.6205 0.2410 0.7302
Er 0.3795 0.7590 0.2698
Er 0.0633 0.1266 0.4098
Er 0.6876 0.3753 0.3857
Ga 0.5131 0.0261 0.8752
Ga 0.4869 0.9739 0.1248
Ga 0.7747 0.5495 0.1638
Ga 0.2253 0.4505 0.8362
CELL_PARAMETERS angstrom
-1.9165 -4.1363 -2.2515
4.9517 -2.9937 7.0258
-8.1207 3.3752 0.7117
! Symmetry ... C2/m, No. 12
! Spin magnetization ... 0.01 μB/f.u.
! Calculated volume ... 26.434 Å³/atom
! Polymorph energy (0 for the lowest one) ... 87 meV per atom
! ΔE_f ... -2.0 eV/f.u.
! E ... -26.5 eV per formula unit

2.
! Cu2MoIr (PBE, optimized geometry); values from VASP
&SYSTEM
  ibrav = 0, nat = 4, ntyp = 3
/
ATOMIC_SPECIES
Cu 63.55 Cu.upf
Ir 192.22 Ir.upf
Mo 95.94 Mo.upf
ATOMIC_POSITIONS crystal
Cu 0.0000 0.0000 0.0000
Cu 0.5000 0.5000 0.0000
Ir 0.5000 0.5000 0.5000
Mo 0.0000 0.0000 0.5000
CELL_PARAMETERS angstrom
-1.8441 1.0634 -1.7144
-3.3718 -1.8347 2.4889
-2.4623 2.4390 4.1613
! Symmetry ... P2/m, No. 10
! Spin magnetization ... 0.00 μB/f.u.
! Calculated volume ... 13.880 Å³/atom
! Polymorph energy (0 for the lowest one) ... 115 meV per atom
! ΔE_f ... 0.6 eV/f.u.
! E ... -27.3 eV per formula unit

3.
! Cd2W (PBE, optimized geometry); values from VASP
&SYSTEM
  ibrav = 0, nat = 6, ntyp = 2
/
ATOMIC_SPECIES
Cd 112.41 Cd.upf
W 183.84 W.upf
ATOMIC_POSITIONS crystal
Cd 0.0194 0.0194 0.6849
Cd 0.6413 0.6413 0.9687
Cd 0.3587 0.3587 0.0313
Cd 0.9806 0.9806 0.3151
W 0.7081 0.7081 0.3705
W 0.2919 0.2919 0.6295
CELL_PARAMETERS angstrom
1.4056 5.7575 0.0124
-1.4056 5.7575 0.0124
0.0000 2.1266 7.1330
! Symmetry ... C2/m, No. 12
! Spin magnetization ... 0.00 μB/f.u.
! Calculated volume ... 19.230 Å³/atom
! Polymorph energy (0 for the lowest one) ... 120 meV per atom
! ΔE_f ... 1.7 eV/f.u.
! E ... -13.1 eV per formula unit

4.
! MnInSnPt2 (PBE, optimized geometry); values from VASP
&SYSTEM
  ibrav = 0, nat = 5, ntyp = 4
/
ATOMIC_SPECIES
Mn 54.94 Mn.upf
Sn 118.71 Sn.upf
Pt 195.08 Pt.upf
In 114.82 In.upf
ATOMIC_POSITIONS crystal
Mn 0.5000 0.5000 0.5000
Sn 0.0000 0.5000 0.0000
Pt 0.0000 0.0000 0.5000
Pt 0.5000 0.0000 0.0000
In 0.0000 0.0000 0.0000
CELL_PARAMETERS angstrom
-0.6692 4.9367 -0.4114
-4.5866 -0.8347 -2.5553
-2.4374 0.0333 4.3642
! Symmetry ... P4/mmm, No. 123
! Spin magnetization ... 4.64 μB/f.u.
! Calculated volume ... 26.569 Å³/atom
! ΔE_f ... 5.1 eV/f.u.
! E ... -22.9 eV per formula unit

5.
! Re2SbBr (PBE, optimized geometry); values from VASP
&SYSTEM
  ibrav = 0, nat = 4, ntyp = 3
/
ATOMIC_SPECIES
Re 186.21 Re.upf
Br 79.90 Br.upf
Sb 121.76 Sb.upf
ATOMIC_POSITIONS crystal
Re 0.9984 0.9984 0.9984
Re 0.5016 0.5016 0.5016
Br 0.7500 0.7500 0.7500
Sb 0.2500 0.2500 0.2500
CELL_PARAMETERS angstrom
8.6337 0.0030 0.0018
8.0755 3.0540 0.0018
8.0755 1.4774 2.6728
! Symmetry ... R-3m, No. 166
! Spin magnetization ... 0.00 μB/f.u.
! Calculated volume ... 17.592 Å³/atom
! Polymorph energy (0 for the lowest one) ... 715 meV per atom
! Raw formation energy ... 368 kJ/mol of formula units
! E ... -26.9 eV per formula unit

6.
! CsNaNpBr5 (PBE, optimized geometry); values from VASP
&SYSTEM
  ibrav = 0, nat = 16, ntyp = 4
/
ATOMIC_SPECIES
Cs 132.91 Cs.upf
Na 22.99 Na.upf
Np 237.00 Np.upf
Br 79.90 Br.upf
ATOMIC_POSITIONS crystal
Cs 0.3388 0.6612 0.2500
Cs 0.6612 0.3388 0.7500
Na 0.6877 0.3123 0.2500
Na 0.3123 0.6877 0.7500
Np 0.0000 0.0000 0.5000
Np 0.0000 0.0000 0.0000
Br 0.0685 0.9315 0.2500
Br 0.9315 0.0685 0.7500
Br 0.9035 0.2946 0.0861
Br 0.0965 0.7054 0.9139
Br 0.7054 0.0965 0.4139
Br 0.2946 0.9035 0.5861
Br 0.7517 0.6417 0.4358
Br 0.2483 0.3583 0.5642
Br 0.3583 0.2483 0.0642
Br 0.6417 0.7517 0.9358
CELL_PARAMETERS angstrom
-4.0601 -1.2045 -7.2999
7.6443 -3.5435 -0.4821
-5.3663 -6.7920 6.8822
! Symmetry ... C2/c, No. 15
! Spin magnetization ... 4.00 μB/f.u.
! Calculated volume ... 43.149 Å³/atom
! Raw formation energy ... -1161 kJ/mol of formula units
! E ... -35.5 eV per formula unit

7.
! Tb2MgHg6 (PBE, optimized geometry); values from VASP
&SYSTEM
  ibrav = 0, nat = 9, ntyp = 3
/
ATOMIC_SPECIES
Tb 158.93 Tb.upf
Mg 24.30 Mg.upf
Hg 200.59 Hg.upf
ATOMIC_POSITIONS crystal
Tb 0.6738 0.6719 0.3438
Tb 0.3262 0.3281 0.6562
Mg 0.0000 0.0000 0.0000
Hg 0.1669 0.5011 0.3350
Hg 0.8331 0.1661 0.6650
Hg 0.8331 0.4989 0.6650
Hg 0.5000 0.1647 0.0000
Hg 0.1669 0.8339 0.3350
Hg 0.5000 0.8353 0.0000
CELL_PARAMETERS angstrom
5.8097 0.0000 1.3198
0.0000 8.6347 0.0000
-1.0343 -4.3173 4.0881
! Symmetry ... C2/m, No. 12
! Spin magnetization ... 0.00 μB/f.u.
! Calculated volume ... 24.096 Å³/atom
! ΔE_f ... -2.6 eV/f.u.
! E ... -15.3 eV per formula unit

8.
! AlSiPN4 (PBE, optimized geometry); values from VASP
&SYSTEM
  ibrav = 0, nat = 14, ntyp = 4
/
ATOMIC_SPECIES
Al 26.98 Al.upf
Si 28.09 Si.upf
P 30.97 P.upf
N 14.01 N.upf
ATOMIC_POSITIONS crystal
Al 0.5500 0.0000 0.3994
Al 0.5500 0.5000 0.8994
Si 0.6870 0.0000 0.2142
Si 0.6870 0.5000 0.7142
P 0.1364 0.0000 0.7587
P 0.1364 0.5000 0.2587
N 0.1564 0.0000 0.1773
N 0.1564 0.5000 0.6773
N 0.8612 0.0000 0.7021
N 0.8612 0.5000 0.2021
N 0.4301 0.0000 0.9702
N 0.4301 0.5000 0.4702
N 0.6344 0.0000 0.8068
N 0.6344 0.5000 0.3068
CELL_PARAMETERS angstrom
7.1988 0.0000 -0.0002
0.0000 2.7400 0.0000
-6.7847 0.0000 7.2366
! Symmetry ... Cm, No. 8
! Spin magnetization ... 0.00 μB/f.u.
! Calculated volume ... 10.195 Å³/atom
! Polymorph energy (0 for the lowest one) ... 180 meV per atom
! Raw formation energy ... -406 kJ/mol of formula units
! E ... -52.1 eV per formula unit